4
Lattice="1.971 1.138 5.273 -1.971 1.138 5.273 0.000 -2.276 5.273" Properties=species:S:1:pos:R:3 comment="LaCr2P | Alexandria | meta-GGA SCAN | PBEsol geometry" density_g_cm3=6.41 sg="R3m, No. 160" formation_energy_ev_per_atom=-0.50 pbc="T T T"
La 0.000 0.000 0.000
Cr 0.000 0.000 7.881
Cr 0.000 0.000 12.661
P 0.000 0.000 3.098



5
Lattice="4.562 0.000 0.000 0.000 4.562 0.000 0.000 0.000 4.562" Properties=species:S:1:pos:R:3 comment="LaCr3P | Alexandria | meta-GGA SCAN | PBEsol geometry" density_g_cm3=5.70 sg="Pm-3m, No. 221" formation_energy_ev_per_atom=2.06 pbc="T T T"
La 0.000 0.000 0.000
Cr 0.000 0.000 2.281
Cr 0.000 2.281 0.000
Cr 2.281 0.000 0.000
P 2.281 2.281 2.281



| no. | uncorrected energy (eV per formula unit) | DOS(E_F) (states/eV/cell) |
| --- | --- | --- |
| 1 | -92.29 | 1.11 |
| 2 | -98.35 | 3.14 |